(1)
# MnRe2As (GGA-PBE, optimized geometry)
data_MnRe2As
_symmetry_space_group_name_H-M 'P m m 2'
_symmetry_Int_Tables_number 25
_symmetry_space_group_name_Hall 'P 2 -2'
_cell_length_a 2.864
_cell_length_b 3.952
_cell_length_c 5.160
_cell_angle_alpha 90.00
_cell_angle_beta 90.00
_cell_angle_gamma 90.00
loop_
_atom_site_label
_atom_site_fract_x
_atom_site_fract_y
_atom_site_fract_z
Mn1 0.000 0.000 0.000
Re1 0.000 0.000 0.498
Re2 0.500 0.500 0.276
As1 0.500 0.500 0.778
# V (Å³/cell): 58.39
# Total moment (μB/cell): 2.6
# Calculated total energy (eV/atom): -9.457
# Theoretical density (g/cm3): 14.28
# ΔE_f (eV/atom): 0.222


(2)
# MnRe2As (GGA-PBE, optimized geometry)
data_MnRe2As
_symmetry_space_group_name_H-M 'C 1 2/m 1'
_symmetry_Int_Tables_number 12
_symmetry_space_group_name_Hall '-C 2y'
_cell_length_a 5.395
_cell_length_b 8.611
_cell_length_c 2.801
_cell_angle_alpha 90.00
_cell_angle_beta 115.07
_cell_angle_gamma 90.00
loop_
_atom_site_label
_atom_site_fract_x
_atom_site_fract_y
_atom_site_fract_z
Mn1 0.000 0.000 0.000
Re1 0.250 0.250 0.500
As1 0.000 0.500 0.000
# V (Å³/cell): 117.87
# Total moment (μB/cell): 5.1
# Calculated total energy (eV/atom): -9.246
# Theoretical density (g/cm3): 14.15
# ΔE_f (eV/atom): 0.432


(3)
# MnRe2As (GGA-PBE, optimized geometry)
data_MnRe2As
_symmetry_space_group_name_H-M 'I m m 2'
_symmetry_Int_Tables_number 44
_symmetry_space_group_name_Hall 'I 2 -2'
_cell_length_a 2.997
_cell_length_b 4.319
_cell_length_c 8.586
_cell_angle_alpha 90.00
_cell_angle_beta 90.00
_cell_angle_gamma 90.00
loop_
_atom_site_label
_atom_site_fract_x
_atom_site_fract_y
_atom_site_fract_z
Mn1 0.000 0.000 0.000
Re1 0.000 0.000 0.537
Re2 0.000 0.500 0.766
As1 0.000 0.500 0.279
# V (Å³/cell): 111.14
# Total moment (μB/cell): 3.3
# Calculated total energy (eV/atom): -9.489
# Theoretical density (g/cm3): 15.01
# ΔE_f (eV/atom): 0.190